{"formula": "KTb2RuO8", "functional": "GGA-PBE", "state": "optimized geometry", "space_group": "P-1 (2)", "e_form_raw_mev_per_atom": -1865, "total_energy_ry_per_atom": -0.5003, "lattice_angstrom": [[-4.049, 3.066, 1.444], [-0.957, -2.623, 3.037], [3.734, 2.295, 5.691]], "species": ["O", "O", "O", "O", "O", "O", "O", "O", "Tb", "Tb", "K", "Ru"], "frac_coords": [[0.320, 0.185, 0.086], [0.680, 0.815, 0.914], [0.040, 0.645, 0.229], [0.960, 0.355, 0.771], [0.215, 0.791, 0.864], [0.504, 0.822, 0.497], [0.785, 0.209, 0.136], [0.496, 0.178, 0.503], [0.483, 0.619, 0.211], [0.517, 0.381, 0.789], [0.000, 0.000, 0.500], [0.000, 0.000, 0.000]]}

{"formula": "TlPt3Pb2O8", "functional": "GGA-PBE", "state": "optimized geometry", "space_group": "R3m (160)", "e_form_raw_mev_per_atom": -630, "total_energy_ry_per_atom": -0.4010, "lattice_angstrom": [[-5.451, -3.031, -1.474], [-1.986, -4.940, 3.568], [-5.714, 1.343, 4.436]], "species": ["O", "O", "O", "O", "O", "O", "O", "O", "Pt", "Pt", "Pt", "Tl", "Pb", "Pb"], "frac_coords": [[0.755, 0.755, 0.176], [0.242, 0.692, 0.825], [0.242, 0.242, 0.825], [0.755, 0.314, 0.176], [0.314, 0.755, 0.176], [0.284, 0.284, 0.149], [0.716, 0.716, 0.853], [0.692, 0.242, 0.825], [0.999, 0.500, 0.000], [0.500, 0.500, 0.000], [0.500, 0.999, 0.000], [0.872, 0.872, 0.383], [0.508, 0.508, 0.477], [0.114, 0.114, 0.658]]}

{"formula": "CuPb2Cl2O4", "functional": "GGA-PBE", "state": "optimized geometry", "space_group": "P4mm (99)", "e_form_raw_mev_per_atom": -545, "total_energy_ry_per_atom": -0.3262, "lattice_angstrom": [[5.575, 0.000, 0.000], [0.000, 5.575, 0.000], [0.000, 0.000, 5.807]], "species": ["Cu", "O", "O", "O", "O", "Pb", "Pb", "Cl", "Cl"], "frac_coords": [[0.000, 0.000, 0.295], [0.231, 0.231, 0.257], [0.231, 0.769, 0.257], [0.769, 0.231, 0.257], [0.769, 0.769, 0.257], [0.500, 0.000, 0.068], [0.000, 0.500, 0.068], [0.500, 0.500, 0.820], [0.000, 0.000, 0.764]]}

{"formula": "Ce4Sm2Ge3H2", "functional": "GGA-PBE", "state": "optimized geometry", "space_group": "I4/mmm (139)", "total_energy_ry_per_atom": -0.4000, "lattice_angstrom": [[4.476, 0.000, 0.000], [0.000, 4.476, 0.000], [-2.238, -2.238, 12.311]], "species": ["Sm", "Sm", "Ce", "Ce", "Ce", "Ce", "H", "H", "Ge", "Ge", "Ge"], "frac_coords": [[0.703, 0.703, 0.407], [0.297, 0.297, 0.593], [0.081, 0.581, 0.162], [0.581, 0.081, 0.162], [0.919, 0.419, 0.838], [0.419, 0.919, 0.838], [0.390, 0.390, 0.781], [0.610, 0.610, 0.219], [0.000, 0.000, 0.000], [0.828, 0.828, 0.656], [0.172, 0.172, 0.344]]}

{"formula": "LiSc2P", "functional": "GGA-PBE", "state": "optimized geometry", "formation_enthalpy_0k_ev_per_atom": -0.297, "space_group": "I-42d (122)", "total_energy_ry_per_atom": -0.3891, "lattice_angstrom": [[7.466, 0.000, 0.000], [0.000, 7.466, 0.000], [3.733, 3.733, 3.045]], "species": ["Sc", "Sc", "Sc", "Sc", "Li", "Li", "P", "P"], "frac_coords": [[0.083, 0.625, 0.250], [0.667, 0.125, 0.250], [0.875, 0.917, 0.750], [0.375, 0.333, 0.750], [0.500, 0.500, 0.000], [0.250, 0.750, 0.500], [0.000, 0.000, 0.000], [0.750, 0.250, 0.500]]}

{"formula": "HfPbAu3", "functional": "GGA-PBE", "state": "optimized geometry", "polymorph_energy_ev_per_atom": 0.000, "formation_enthalpy_0k_ev_per_atom": 0.418, "space_group": "Pm-3m (221)", "total_energy_ry_per_atom": -0.3146, "lattice_angstrom": [[-0.428, -2.077, -4.776], [5.164, 0.450, -0.658], [0.673, -4.774, 2.016]], "species": ["Au", "Au", "Au", "Hf", "Pb"], "frac_coords": [[0.000, 0.500, 0.000], [0.500, 0.000, 0.000], [0.000, 0.000, 0.500], [0.000, 0.000, 0.000], [0.500, 0.500, 0.500]]}

{"formula": "RbGdS2", "functional": "GGA-PBE", "state": "optimized geometry", "space_group": "R-3m (166)", "e_form_raw_mev_per_atom": -1852, "total_energy_ry_per_atom": -0.5643, "lattice_angstrom": [[8.043, 0.000, 0.000], [6.981, 3.995, 0.000], [6.981, 1.856, 3.538]], "species": ["S", "S", "Rb", "Gd"], "frac_coords": [[0.231, 0.231, 0.231], [0.769, 0.769, 0.769], [0.000, 0.000, 0.000], [0.500, 0.500, 0.500]]}

{"formula": "YZr2Bi", "functional": "GGA-PBE", "state": "optimized geometry", "formation_enthalpy_0k_ev_per_atom": 0.214, "space_group": "I-42d (122)", "total_energy_ry_per_atom": -0.4885, "lattice_angstrom": [[8.605, 0.000, 0.000], [0.000, 8.605, 0.000], [4.302, 4.302, 3.038]], "species": ["Y", "Y", "Zr", "Zr", "Zr", "Zr", "Bi", "Bi"], "frac_coords": [[0.250, 0.750, 0.500], [0.500, 0.500, 0.000], [0.658, 0.125, 0.250], [0.092, 0.625, 0.250], [0.875, 0.908, 0.750], [0.375, 0.342, 0.750], [0.000, 0.000, 0.000], [0.750, 0.250, 0.500]]}

{"formula": "Fe2AsP", "functional": "GGA-PBE", "state": "optimized geometry", "formation_enthalpy_0k_ev_per_atom": -0.030, "space_group": "P2/m (10)", "total_energy_ry_per_atom": -0.4981, "lattice_angstrom": [[2.807, 0.000, 0.000], [0.000, 2.812, -0.010], [0.000, 2.845, 5.969]], "species": ["Fe", "Fe", "P", "As"], "frac_coords": [[0.000, 0.532, 0.467], [0.000, 0.968, 0.033], [0.500, 0.250, 0.250], [0.500, 0.750, 0.750]]}

{"formula": "CePrRuCl", "functional": "GGA-PBE", "state": "optimized geometry", "space_group": "R3m (160)", "e_form_raw_mev_per_atom": -918, "total_energy_ry_per_atom": -0.4687, "lattice_angstrom": [[3.955, 0.000, 0.000], [-1.977, 3.426, 0.000], [-1.978, -1.141, 7.782]], "species": ["Cl", "Ce", "Ru", "Pr"], "frac_coords": [[0.965, 0.381, 0.361], [0.100, 0.948, 0.064], [0.320, 0.557, 0.893], [0.493, 0.144, 0.652]]}

{"formula": "NaAlTlGa", "functional": "GGA-PBE", "state": "optimized geometry", "formation_enthalpy_0k_ev_per_atom": 0.064, "space_group": "F-43m (216)", "total_energy_ry_per_atom": -0.1874, "lattice_angstrom": [[-3.676, 0.967, -3.262], [-1.524, -3.555, -3.183], [-4.495, -2.129, 0.589]], "species": ["Na", "Tl", "Al", "Ga"], "frac_coords": [[0.500, 0.500, 0.500], [0.750, 0.750, 0.750], [0.000, 0.000, 0.000], [0.250, 0.250, 0.250]]}

{"formula": "Sc2RuCl", "functional": "GGA-PBE", "state": "optimized geometry", "polymorph_energy_ev_per_atom": 0.638, "space_group": "I-4m2 (119)", "e_form_raw_mev_per_atom": -354, "total_energy_ry_per_atom": -0.4631, "lattice_angstrom": [[5.963, 0.000, 0.000], [3.678, 4.694, 0.000], [-4.820, -2.347, 2.611]], "species": ["Ru", "Cl", "Sc", "Sc"], "frac_coords": [[0.750, 0.250, 0.500], [0.500, 0.500, 0.000], [0.000, 0.000, 0.000], [0.250, 0.750, 0.500]]}

{"formula": "CsSr2", "functional": "GGA-PBE", "state": "optimized geometry", "formation_enthalpy_0k_ev_per_atom": 0.058, "space_group": "Cm (8)", "total_energy_ry_per_atom": -0.0990, "lattice_angstrom": [[-3.075, 1.909, -2.797], [-4.300, -0.384, 0.727], [-1.901, 10.359, 5.423]], "species": ["Cs", "Sr", "Sr"], "frac_coords": [[0.283, 0.023, 0.553], [0.046, 0.848, 0.200], [0.516, 0.205, 0.906]]}

{"formula": "Mg2Ag5Sn", "functional": "GGA-PBE", "state": "optimized geometry", "polymorph_energy_ev_per_atom": 0.000, "formation_enthalpy_0k_ev_per_atom": -0.137, "space_group": "Pbam (55)", "total_energy_ry_per_atom": -0.2071, "lattice_angstrom": [[-2.322, 0.659, -3.447], [0.547, -5.926, -1.501], [-9.736, -2.441, 6.094]], "species": ["Ag", "Ag", "Ag", "Ag", "Ag", "Ag", "Ag", "Ag", "Ag", "Ag", "Mg", "Mg", "Mg", "Mg", "Sn", "Sn"], "frac_coords": [[0.000, 0.000, 0.000], [0.000, 0.010, 0.749], [0.000, 0.990, 0.251], [0.000, 0.490, 0.249], [0.500, 0.252, 0.375], [0.500, 0.752, 0.125], [0.500, 0.248, 0.875], [0.000, 0.510, 0.751], [0.500, 0.748, 0.625], [0.000, 0.500, 0.500], [0.500, 0.730, 0.369], [0.500, 0.770, 0.869], [0.500, 0.270, 0.631], [0.500, 0.230, 0.131], [0.000, 0.000, 0.500], [0.000, 0.500, 0.000]]}

{"formula": "Pm2NiSn", "functional": "GGA-PBE", "state": "optimized geometry", "formation_enthalpy_0k_ev_per_atom": -0.454, "space_group": "P4/mmm (123)", "total_energy_ry_per_atom": -0.3877, "lattice_angstrom": [[-0.331, -3.392, -0.935], [-0.924, -0.822, 3.310], [-7.597, 1.240, -1.811]], "species": ["Ni", "Pm", "Pm", "Sn"], "frac_coords": [[0.500, 0.500, 0.000], [0.000, 0.000, 0.214], [0.000, 0.000, 0.786], [0.500, 0.500, 0.500]]}

{"formula": "MgFeSeN2", "functional": "GGA-PBE", "state": "optimized geometry", "polymorph_energy_ev_per_atom": 1.514, "space_group": "P4/mmm (123)", "e_form_raw_mev_per_atom": 1846, "total_energy_ry_per_atom": -0.3082, "lattice_angstrom": [[-0.842, 3.698, -1.214], [-2.283, -1.822, -3.968], [-3.427, -0.115, 2.025]], "species": ["Fe", "N", "N", "Mg", "Se"], "frac_coords": [[0.500, 0.500, 0.500], [0.500, 0.000, 0.000], [0.000, 0.000, 0.500], [0.000, 0.500, 0.000], [0.000, 0.000, 0.000]]}

{"formula": "SmY2Hf", "functional": "GGA-PBE", "state": "optimized geometry", "polymorph_energy_ev_per_atom": 0.110, "formation_enthalpy_0k_ev_per_atom": 0.235, "space_group": "P4/mmm (123)", "total_energy_ry_per_atom": -0.4899, "lattice_angstrom": [[-1.487, -0.973, -3.578], [1.635, -3.632, 0.308], [-6.240, -2.531, 3.281]], "species": ["Hf", "Sm", "Y", "Y"], "frac_coords": [[0.500, 0.500, 0.000], [0.500, 0.500, 0.500], [0.000, 0.000, 0.219], [0.000, 0.000, 0.781]]}

{"formula": "SrZr2RuO8", "functional": "GGA-PBE", "state": "optimized geometry", "space_group": "P2/m (10)", "e_form_raw_mev_per_atom": -2314, "total_energy_ry_per_atom": -0.5849, "lattice_angstrom": [[4.969, 0.066, -0.003], [0.100, 4.943, -0.006], [0.004, 0.007, 6.714]], "species": ["O", "O", "O", "O", "O", "O", "O", "O", "Zr", "Zr", "Ru", "Sr"], "frac_coords": [[0.713, 0.719, 0.000], [0.802, 0.204, 0.801], [0.802, 0.204, 0.199], [0.287, 0.281, 0.000], [0.667, 0.679, 0.500], [0.198, 0.796, 0.199], [0.333, 0.321, 0.500], [0.198, 0.796, 0.801], [0.500, 0.500, 0.252], [0.500, 0.500, 0.748], [0.000, 0.000, 0.000], [0.000, 0.000, 0.500]]}

{"formula": "LaNdSiPd", "functional": "GGA-PBE", "state": "optimized geometry", "polymorph_energy_ev_per_atom": 0.000, "space_group": "Amm2 (38)", "e_form_raw_mev_per_atom": -762, "total_energy_ry_per_atom": -0.4292, "lattice_angstrom": [[-1.013, -1.888, -3.618], [1.932, -3.590, 1.333], [-4.342, -0.820, 4.087]], "species": ["Pd", "Nd", "Si", "La"], "frac_coords": [[0.430, 0.000, 0.860], [0.136, 0.000, 0.273], [0.576, 0.500, 0.151], [0.858, 0.500, 0.716]]}

{"formula": "LaBiS2N", "functional": "GGA-PBE", "state": "optimized geometry", "polymorph_energy_ev_per_atom": 0.000, "space_group": "P4/mmm (123)", "e_form_raw_mev_per_atom": -174, "total_energy_ry_per_atom": -0.3860, "lattice_angstrom": [[5.224, 0.000, 0.000], [0.000, 5.224, 0.000], [0.000, 0.000, 4.295]], "species": ["S", "S", "Bi", "N", "La"], "frac_coords": [[0.000, 0.500, 0.000], [0.500, 0.000, 0.000], [0.000, 0.000, 0.000], [0.000, 0.000, 0.500], [0.500, 0.500, 0.500]]}